The following is a GGA-PBE calculation of a geometry-optimized Y8AgPt2 structure, from Alexandria via LeMat-Bulk.

Cell: 5.607 7.922 7.922 Å, 114.31 98.10 98.10°
Sites, in units of the cell vectors:
1 Y 0.589 0.081 0.334
2 Y 0.000 0.241 0.765
3 Y 0.410 0.672 0.925
4 Y 0.189 0.382 0.382
5 Y 0.000 0.765 0.241
6 Y 0.410 0.925 0.672
7 Y 0.589 0.334 0.081
8 Y 0.810 0.624 0.624
9 Pt 0.500 0.699 0.307
10 Pt 0.500 0.307 0.699
11 Ag 0.003 0.003 0.003

Results
The total energy is -6.497 eV/atom. The formation energy comes out at -0.438 eV per atom. The value obtained for the density of states at the Fermi level is 1.410 states/eV/atom. The volume comes out at 28.15 Å³ per atom. As for the spin magnetization: 0.00 μB per atom.

=====

The following is a GGA-PBE calculation of a geometry-optimized AcPt4I structure, from Alexandria via LeMat-Bulk.

Cell: 5.616 5.616 5.616 Å, 60.00 60.00 60.00°
Sites, in units of the cell vectors:
1 Pt 0.625 0.625 0.625
2 Pt 0.625 0.625 0.125
3 Pt 0.125 0.625 0.625
4 Pt 0.625 0.125 0.625
5 I 0.000 0.000 0.000
6 Ac 0.250 0.250 0.250

Results
The total energy is -5.494 eV/atom. For the formation energy (no corrections), the calculation gives -0.524 eV per atom. The value obtained for the density of states at the Fermi level is 1.415 states/eV/atom. The volume comes out at 20.87 Å³ per atom. As for the spin magnetization: 0.00 μB per atom.